(1)
{"formula": "TaFeTe2", "functional": "PBE", "state": "relaxed", "e_tot_ev_per_atom": -6.39, "dos_at_fermi_per_ev_atom": 1.155, "raw_formation_energy_ev_per_atom": 0.261, "mass_density_g_cm3": 10.4, "lattice": [[-2.468, -0.559, -2.308], [1.381, -3.057, -0.737], [-2.285, -6.177, 3.938]], "species": ["Fe", "Ta", "Te", "Te"], "frac_coords": [[0.500, 0.250, 0.250], [0.500, 0.750, 0.750], [0.000, 0.977, 0.998], [0.000, 0.523, 0.502]]}

(2)
{"formula": "Tb3TlRu", "functional": "PBE", "state": "relaxed", "e_tot_ev_per_atom": -5.38, "dos_at_fermi_per_ev_atom": 0.667, "polymorph_energy_ev_per_atom": 0.072, "mass_density_g_cm3": 9.4, "lattice": [[-3.085, 2.531, -3.809], [-1.646, -6.372, 1.094], [-3.442, 5.294, 6.305]], "species": ["Tb", "Tb", "Tb", "Tb", "Tb", "Tb", "Tl", "Tl", "Ru", "Ru"], "frac_coords": [[0.897, 0.794, 0.778], [0.103, 0.206, 0.222], [0.607, 0.214, 0.894], [0.393, 0.786, 0.106], [0.833, 0.665, 0.333], [0.167, 0.335, 0.667], [0.382, 0.764, 0.533], [0.618, 0.236, 0.467], [0.148, 0.296, 0.952], [0.852, 0.704, 0.048]]}